Record 1
The following is a DFT calculation (PBE) of BeCoTc2 after structural relaxation.

Results
- M_tot (μB per formula unit) = 0.54
- total energy (eV/atom) = -7.855
- formation energy from the elements (meV/atom) = 36
- space-group type = Pmmm (47)

Cell lengths 2.6673, 3.7123, 4.9315 Å; angles 90.00, 90.00, 90.00 degrees
Element x y z (fractional)
Be1 0.0000 0.0000 0.0000
Co1 0.0000 0.0000 0.5000
Tc1 0.5000 0.5000 0.2373
Tc2 0.5000 0.5000 0.7627


Record 2
The following is a DFT calculation (PBE) of Li5Hg6Rh after structural relaxation.

Results
- M_tot (μB per formula unit) = 0.00
- total energy (eV/atom) = -1.858
- formation energy from the elements (meV/atom) = -297
- space-group type = P2/m (10)

Cell lengths 4.6026, 6.7316, 7.3018 Å; angles 90.00, 108.20, 90.00 degrees
Element x y z (fractional)
Li1 0.0000 0.0000 0.0000
Li2 0.3266 0.0000 0.6534
Li3 0.3442 0.5000 0.6873
Li4 0.6558 0.5000 0.3127
Li5 0.6734 0.0000 0.3466
Hg1 0.1673 0.2533 0.3356
Hg2 0.1673 0.7467 0.3356
Hg3 0.5000 0.2405 0.0000
Hg4 0.5000 0.7595 0.0000
Hg5 0.8327 0.2533 0.6644
Hg6 0.8327 0.7467 0.6644
Rh1 0.0000 0.5000 0.0000


Record 3
The following is a DFT calculation (PBE) of CeMnB14 after structural relaxation.

Results
- M_tot (μB per formula unit) = 2.86
- total energy (eV/atom) = -6.957
- formation energy from the elements (meV/atom) = -170
- space-group type = Imma (74)

Cell lengths 7.4056, 7.4056, 7.4056 Å; angles 133.54, 86.55, 111.80 degrees
Element x y z (fractional)
Ce1 0.3773 0.1273 0.2500
Ce2 0.6227 0.8727 0.7500
Mn1 0.0000 0.0000 0.5000
Mn2 0.0000 0.5000 0.0000
B1 0.0040 0.1328 0.8712
B2 0.0294 0.2035 0.3285
B3 0.0294 0.7009 0.8259
B4 0.0851 0.6688 0.4162
B5 0.1985 0.5319 0.6666
B6 0.2204 0.4992 0.3993
B7 0.2204 0.8211 0.7212
B8 0.2384 0.8672 0.3712
B9 0.2474 0.3312 0.9162
B10 0.3653 0.5319 0.8334
B11 0.3750 0.2035 0.6741
B12 0.3750 0.7009 0.1715
B13 0.4001 0.1789 0.8993
B14 0.4001 0.5008 0.2212
B15 0.5999 0.4992 0.7788
B16 0.5999 0.8211 0.1007
B17 0.6250 0.2991 0.8285
B18 0.6250 0.7965 0.3259
B19 0.6347 0.4681 0.1666
B20 0.7526 0.6688 0.0838
B21 0.7616 0.1328 0.6288
B22 0.7796 0.1789 0.2788
B23 0.7796 0.5008 0.6007
B24 0.8015 0.4681 0.3334
B25 0.9149 0.3312 0.5838
B26 0.9706 0.2991 0.1741
B27 0.9706 0.7965 0.6715
B28 0.9960 0.8672 0.1288


Record 4
The following is a DFT calculation (PBE) of LiCaTmTl after structural relaxation.

Results
- M_tot (μB per formula unit) = 0.00
- total energy (eV/atom) = -2.890
- formation energy from the elements (meV/atom) = -202
- space-group type = F-43m (216)

Cell lengths 5.3158, 5.3158, 5.3158 Å; angles 60.00, 60.00, 60.00 degrees
Element x y z (fractional)
Li1 0.0000 0.0000 0.0000
Ca1 0.2500 0.2500 0.2500
Tm1 0.7500 0.7500 0.7500
Tl1 0.5000 0.5000 0.5000


Record 5
The following is a DFT calculation (PBE) of Ac4Pm3Tl4 after structural relaxation.

Results
- M_tot (μB per formula unit) = 0.00
- total energy (eV/atom) = -3.887
- formation energy from the elements (meV/atom) = -237
- space-group type = Immm (71)

Cell lengths 11.4796, 11.4796, 11.4796 Å; angles 160.74, 128.37, 55.62 degrees
Element x y z (fractional)
Ac1 0.0153 0.8368 0.1784
Ac2 0.3416 0.1632 0.1784
Ac3 0.6584 0.8368 0.8216
Ac4 0.9847 0.1632 0.8216
Pm1 0.0000 0.5000 0.5000
Pm2 0.4085 0.4085 0.0000
Pm3 0.5915 0.5915 0.0000
Tl1 0.2792 0.0000 0.2792
Tl2 0.2794 0.7794 0.5000
Tl3 0.7208 0.0000 0.7208
Tl4 0.7206 0.2206 0.5000


Record 6
The following is a DFT calculation (PBE) of Ca2Cd2PdAu5 after structural relaxation.

Results
- M_tot (μB per formula unit) = 0.00
- total energy (eV/atom) = -3.126
- formation energy from the elements (meV/atom) = -385
- space-group type = P4/mbm (127)

Cell lengths 10.5048, 10.5048, 3.8923 Å; angles 90.00, 90.00, 90.00 degrees
Element x y z (fractional)
Ca1 0.1708 0.3292 0.0000
Ca2 0.3292 0.8292 0.0000
Ca3 0.6708 0.1708 0.0000
Ca4 0.8292 0.6708 0.0000
Cd1 0.1309 0.6309 0.0000
Cd2 0.3691 0.1309 0.0000
Cd3 0.6309 0.8691 0.0000
Cd4 0.8691 0.3691 0.0000
Pd1 0.0000 0.0000 0.0000
Pd2 0.5000 0.5000 0.0000
Au1 0.0000 0.5000 0.5000
Au2 0.0586 0.8132 0.5000
Au3 0.1868 0.0586 0.5000
Au4 0.3132 0.5586 0.5000
Au5 0.4414 0.3132 0.5000
Au6 0.5000 0.0000 0.5000
Au7 0.5586 0.6868 0.5000
Au8 0.6868 0.4414 0.5000
Au9 0.8132 0.9414 0.5000
Au10 0.9414 0.1868 0.5000


Record 7
The following is a DFT calculation (PBE) of Rb4SrPa3S12 after structural relaxation.

Results
- M_tot (μB per formula unit) = 0.00
- total energy (eV/atom) = -5.545
- space-group type = Im-3m (229)
- formation energy (no corrections) (eV/f.u.) = -27.334

Cell lengths 9.3349, 9.3349, 9.3349 Å; angles 109.47, 109.47, 109.47 degrees
Element x y z (fractional)
Rb1 0.0000 0.0000 0.5000
Rb2 0.0000 0.5000 0.0000
Rb3 0.5000 0.0000 0.0000
Rb4 0.5000 0.5000 0.5000
Sr1 0.0000 0.0000 0.0000
Pa1 0.0000 0.5000 0.5000
Pa2 0.5000 0.0000 0.5000
Pa3 0.5000 0.5000 0.0000
S1 0.0000 0.2660 0.2660
S2 0.0000 0.7340 0.7340
S3 0.2500 0.5000 0.7500
S4 0.2500 0.7500 0.5000
S5 0.2660 0.0000 0.2660
S6 0.2660 0.2660 0.0000
S7 0.5000 0.2500 0.7500
S8 0.5000 0.7500 0.2500
S9 0.7340 0.0000 0.7340
S10 0.7340 0.7340 0.0000
S11 0.7500 0.2500 0.5000
S12 0.7500 0.5000 0.2500


Record 8
The following is a DFT calculation (PBE) of HoTh3 after structural relaxation.

Results
- M_tot (μB per formula unit) = 0.00
- total energy (eV/atom) = -6.534
- formation energy from the elements (meV/atom) = 176
- space-group type = Fm-3m (225)

Cell lengths 5.6704, 5.6704, 5.6704 Å; angles 60.00, 60.00, 60.00 degrees
Element x y z (fractional)
Ho1 0.0000 0.0000 0.0000
Th1 0.2500 0.2500 0.2500
Th2 0.5000 0.5000 0.5000
Th3 0.7500 0.7500 0.7500


Question: Among the records above, which one has the lowest total energy?
Answer: BeCoTc2


Question: Number 5 is which compound?
Answer: Ac4Pm3Tl4


Question: Which value of M_tot does entry 4 give?
Answer: 0.00 μB per formula unit


Question: Which of these has the lowest total energy?
Answer: BeCoTc2